P.
{
  "formula": "InSiB2Sb",
  "functional": "GGA-PBE",
  "state": "relaxed",
  "total_magnetization_mub_per_cell": 0.0,
  "sg": "No. 123",
  "vol_a3_per_atom": 21.7,
  "lattice_angstrom": [[4.4606, 0.0000, 0.0000], [0.0000, 4.4606, 0.0000], [0.0000, 0.0000, 5.4578]],
  "species": ["In", "Si", "B", "B", "Sb"],
  "frac_coords": [[0.0000, 0.0000, 0.0000], [0.5000, 0.5000, 0.0000], [0.0000, 0.5000, 0.5000], [0.5000, 0.0000, 0.5000], [0.5000, 0.5000, 0.5000]]
}

=====

Q.
{
  "formula": "InSiB2Sb",
  "functional": "GGA-PBE",
  "state": "relaxed",
  "total_magnetization_mub_per_cell": 0.0,
  "sg": "No. 123",
  "vol_a3_per_atom": 18.9,
  "lattice_angstrom": [[4.1498, 0.0000, 0.0000], [0.0000, 4.1498, 0.0000], [0.0000, 0.0000, 5.4796]],
  "species": ["In", "Si", "B", "B", "Sb"],
  "frac_coords": [[0.0000, 0.0000, 0.0000], [0.0000, 0.0000, 0.5000], [0.0000, 0.5000, 0.5000], [0.5000, 0.0000, 0.5000], [0.5000, 0.5000, 0.0000]]
}

=====

Which structure is most stable? Q, by 481 meV per atom over the runner-up.